5
Lattice="-2.384 4.249 -0.166 -1.062 -0.780 -4.694 -4.118 -2.259 1.307" Properties=species:S:1:pos:R:3 comment="LaSbOs3 (GGA-PBE, optimized geometry)" de_polymorph_ev_per_fu=0.00 sg=Pm-3m total_energy_ev_per_atom=-7.192 volume_a3_per_atom=23.2 e_form_raw_mev_per_atom=1356 mass_density_g_cm3=11.91 pbc="T T T"
Os -2.059 -1.129 0.654
Os -1.192 2.125 -0.083
Os -0.531 -0.390 -2.347
La -3.782 0.605 -1.776
Sb 0.000 0.000 0.000